# CuH12I4N4 (GGA-PBE, optimized geometry)
data_CuH12I4N4
_chemical_formula_sum 'Cu2 H24 I8 N8'
_space_group_name_H-M_alt 'C 1 2/m 1'
_space_group_IT_number 12
_cell_length_a 11.6970
_cell_length_b 8.8736
_cell_length_c 6.4701
_cell_angle_alpha 90.00
_cell_angle_beta 110.88
_cell_angle_gamma 90.00
loop_
_space_group_symop_operation_xyz
'x,y,z'
'-x,-y,-z'
'-x,y,-z'
'x,-y,z'
'x+1/2,y+1/2,z'
'-x+1/2,-y+1/2,-z'
'-x+1/2,y+1/2,-z'
'x+1/2,-y+1/2,z'
loop_
_atom_site_label
_atom_site_fract_x
_atom_site_fract_y
_atom_site_fract_z
_atom_site_occupancy
Cu1 0.0000 0.0000 0.0000 1
H1 0.0469 0.2626 0.1981 1
H2 0.1153 0.1309 0.3807 1
H3 0.1757 0.1854 0.1972 1
I1 0.0870 0.5000 0.7230 1
I2 0.2081 0.0000 0.7816 1
N1 0.0942 0.1626 0.2178 1
# E_tot in eV per cell: -181.3
# ρ in Mg/m³: 3.4


# Cu3H6Ir (GGA-PBE, optimized geometry)
data_Cu3H6Ir
_chemical_formula_sum 'Cu12 H24 Ir4'
_space_group_name_H-M_alt 'F m -3 m'
_space_group_IT_number 225
_space_group_name_Hall '-F 4 2 3'
_cell_length_a 6.7605
_cell_length_b 6.7605
_cell_length_c 6.7605
_cell_angle_alpha 90.00
_cell_angle_beta 90.00
_cell_angle_gamma 90.00
loop_
_atom_site_label
_atom_site_fract_x
_atom_site_fract_y
_atom_site_fract_z
_atom_site_occupancy
Cu1 0.0000 0.0000 0.0000 1
Cu2 0.2500 0.2500 0.2500 1
H1 0.0000 0.0000 0.2526 1
Ir1 0.0000 0.0000 0.5000 1
# E_tot in eV per cell: -151.1
# ρ in Mg/m³: 8.4


# Na2CuH6Ir (GGA-PBE, optimized geometry)
data_Na2CuH6Ir
_chemical_formula_sum 'Na8 Cu4 H24 Ir4'
_space_group_name_H-M_alt 'F m -3 m'
_space_group_IT_number 225
_space_group_name_Hall '-F 4 2 3'
_cell_length_a 7.0681
_cell_length_b 7.0681
_cell_length_c 7.0681
_cell_angle_alpha 90.00
_cell_angle_beta 90.00
_cell_angle_gamma 90.00
loop_
_atom_site_label
_atom_site_fract_x
_atom_site_fract_y
_atom_site_fract_z
_atom_site_occupancy
Na1 0.2500 0.2500 0.2500 1
Cu1 0.0000 0.0000 0.0000 1
H1 0.0000 0.0000 0.2574 1
Ir1 0.0000 0.0000 0.5000 1
# E_tot in eV per cell: -150.2
# ρ in Mg/m³: 5.8


# Cu2NiH6Ir (GGA-PBE, optimized geometry)
data_Cu2NiH6Ir
_chemical_formula_sum 'Cu8 Ni4 H24 Ir4'
_space_group_name_H-M_alt 'F m -3 m'
_space_group_IT_number 225
_space_group_name_Hall '-F 4 2 3'
_cell_length_a 6.6479
_cell_length_b 6.6479
_cell_length_c 6.6479
_cell_angle_alpha 90.00
_cell_angle_beta 90.00
_cell_angle_gamma 90.00
loop_
_atom_site_label
_atom_site_fract_x
_atom_site_fract_y
_atom_site_fract_z
_atom_site_occupancy
Cu1 0.2500 0.2500 0.2500 1
Ni1 0.0000 0.0000 0.0000 1
H1 0.0000 0.0000 0.2449 1
Ir1 0.0000 0.0000 0.5000 1
# E_tot in eV per cell: -161.2
# ρ in Mg/m³: 8.7


# CuNi2H6Ir (GGA-PBE, optimized geometry)
data_CuNi2H6Ir
_chemical_formula_sum 'Cu4 Ni8 H24 Ir4'
_space_group_name_H-M_alt 'F m -3 m'
_space_group_IT_number 225
_space_group_name_Hall '-F 4 2 3'
_cell_length_a 6.6422
_cell_length_b 6.6422
_cell_length_c 6.6422
_cell_angle_alpha 90.00
_cell_angle_beta 90.00
_cell_angle_gamma 90.00
loop_
_atom_site_label
_atom_site_fract_x
_atom_site_fract_y
_atom_site_fract_z
_atom_site_occupancy
Cu1 0.0000 0.0000 0.0000 1
Ni1 0.2500 0.2500 0.2500 1
H1 0.0000 0.0000 0.2495 1
Ir1 0.0000 0.0000 0.5000 1
# E_tot in eV per cell: -162.7
# ρ in Mg/m³: 8.6


# Y2CuH6Ir (GGA-PBE, optimized geometry)
data_Y2CuH6Ir
_chemical_formula_sum 'Y8 Cu4 H24 Ir4'
_space_group_name_H-M_alt 'F m -3 m'
_space_group_IT_number 225
_space_group_name_Hall '-F 4 2 3'
_cell_length_a 7.2937
_cell_length_b 7.2937
_cell_length_c 7.2937
_cell_angle_alpha 90.00
_cell_angle_beta 90.00
_cell_angle_gamma 90.00
loop_
_atom_site_label
_atom_site_fract_x
_atom_site_fract_y
_atom_site_fract_z
_atom_site_occupancy
Y1 0.2500 0.2500 0.2500 1
Cu1 0.0000 0.0000 0.0000 1
H1 0.0000 0.0000 0.2559 1
Ir1 0.0000 0.0000 0.5000 1
# E_tot in eV per cell: -197.1
# ρ in Mg/m³: 7.5


# Zr2CuH6Ir (GGA-PBE, optimized geometry)
data_Zr2CuH6Ir
_chemical_formula_sum 'Zr8 Cu4 H24 Ir4'
_space_group_name_H-M_alt 'F m -3 m'
_space_group_IT_number 225
_space_group_name_Hall '-F 4 2 3'
_cell_length_a 7.0301
_cell_length_b 7.0301
_cell_length_c 7.0301
_cell_angle_alpha 90.00
_cell_angle_beta 90.00
_cell_angle_gamma 90.00
loop_
_atom_site_label
_atom_site_fract_x
_atom_site_fract_y
_atom_site_fract_z
_atom_site_occupancy
Zr1 0.2500 0.2500 0.2500 1
Cu1 0.0000 0.0000 0.0000 1
H1 0.0000 0.0000 0.2514 1
Ir1 0.0000 0.0000 0.5000 1
# E_tot in eV per cell: -205.4
# ρ in Mg/m³: 8.5


# KRb2CuH6 (GGA-PBE, optimized geometry)
data_KRb2CuH6
_chemical_formula_sum 'K2 Rb4 Cu2 H12'
_space_group_name_H-M_alt 'I 4/m'
_space_group_IT_number 87
_space_group_name_Hall '-I 4'
_cell_length_a 5.8111
_cell_length_b 5.8111
_cell_length_c 9.5680
_cell_angle_alpha 90.00
_cell_angle_beta 90.00
_cell_angle_gamma 90.00
loop_
_atom_site_label
_atom_site_fract_x
_atom_site_fract_y
_atom_site_fract_z
_atom_site_occupancy
K1 0.0000 0.0000 0.0000 1
Rb1 0.0000 0.5000 0.2500 1
Cu1 0.0000 0.0000 0.5000 1
H1 0.0000 0.0000 0.2615 1
H2 0.1707 0.8019 0.5000 1
# E_tot in eV per cell: -53.6
# ρ in Mg/m³: 2.9


# K2SrCuH6 (GGA-PBE, optimized geometry)
data_K2SrCuH6
_chemical_formula_sum 'K8 Sr4 Cu4 H24'
_space_group_name_H-M_alt 'F m -3 m'
_space_group_IT_number 225
_space_group_name_Hall '-F 4 2 3'
_cell_length_a 8.2750
_cell_length_b 8.2750
_cell_length_c 8.2750
_cell_angle_alpha 90.00
_cell_angle_beta 90.00
_cell_angle_gamma 90.00
loop_
_atom_site_label
_atom_site_fract_x
_atom_site_fract_y
_atom_site_fract_z
_atom_site_occupancy
K1 0.2500 0.2500 0.2500 1
Sr1 0.0000 0.0000 0.0000 1
Cu1 0.0000 0.0000 0.5000 1
H1 0.0000 0.0000 0.2868 1
# E_tot in eV per cell: -112.5
# ρ in Mg/m³: 2.8


# K2CuH6W (GGA-PBE, optimized geometry)
data_K2CuH6W
_chemical_formula_sum 'K4 Cu2 H12 W2'
_space_group_name_H-M_alt 'P 63/m m c'
_space_group_IT_number 194
_space_group_name_Hall '-P 6c 2c'
_cell_length_a 4.9002
_cell_length_b 4.9002
_cell_length_c 11.6466
_cell_angle_alpha 90.00
_cell_angle_beta 90.00
_cell_angle_gamma 120.00
loop_
_atom_site_label
_atom_site_fract_x
_atom_site_fract_y
_atom_site_fract_z
_atom_site_occupancy
K1 0.3333 0.6667 0.0677 1
Cu1 0.3333 0.6667 0.7500 1
H1 0.1595 0.3191 0.6488 1
W1 0.0000 0.0000 0.2500 1
# E_tot in eV per cell: -76.7
# ρ in Mg/m³: 4.5


# Li2CuNiH6 (GGA-PBE, optimized geometry)
data_Li2CuNiH6
_chemical_formula_sum 'Li4 Cu2 Ni2 H12'
_space_group_name_H-M_alt 'P 1 21/c 1'
_space_group_IT_number 14
_cell_length_a 4.6162
_cell_length_b 4.6143
_cell_length_c 7.9887
_cell_angle_alpha 90.00
_cell_angle_beta 125.26
_cell_angle_gamma 90.00
loop_
_space_group_symop_operation_xyz
'x,y,z'
'-x,-y,-z'
'-x,y+1/2,-z+1/2'
'x,-y+1/2,z+1/2'
loop_
_atom_site_label
_atom_site_fract_x
_atom_site_fract_y
_atom_site_fract_z
_atom_site_occupancy
Li1 0.2484 0.0022 0.2487 1
Cu1 0.5000 0.0000 0.0000 1
Ni1 0.0000 0.0000 0.5000 1
H1 0.2251 0.5028 0.2422 1
H2 0.2403 0.7486 0.5077 1
H3 0.2591 0.2337 0.5089 1
# E_tot in eV per cell: -70.1
# ρ in Mg/m³: 3.4


# Li2CuH6Pt (GGA-PBE, optimized geometry)
data_Li2CuH6Pt
_chemical_formula_sum 'Li8 Cu4 H24 Pt4'
_space_group_name_H-M_alt 'F m -3 m'
_space_group_IT_number 225
_space_group_name_Hall '-F 4 2 3'
_cell_length_a 6.8624
_cell_length_b 6.8624
_cell_length_c 6.8624
_cell_angle_alpha 90.00
_cell_angle_beta 90.00
_cell_angle_gamma 90.00
loop_
_atom_site_label
_atom_site_fract_x
_atom_site_fract_y
_atom_site_fract_z
_atom_site_occupancy
Li1 0.2500 0.2500 0.2500 1
Cu1 0.0000 0.0000 0.0000 1
H1 0.0000 0.0000 0.2501 1
Pt1 0.0000 0.0000 0.5000 1
# E_tot in eV per cell: -144.6
# ρ in Mg/m³: 5.7